Below is a geometry-optimized Zn2MoPt structure, with properties calculated at the GGA-PBE level.

- Volume: 61.5 Å³/f.u.
- Polymorph energy (0 for the lowest one): 137 meV per atom
- Magnetic moment: 0.01 μB/cell
- Formation enthalpy at 0 K: -47 meV/atom

Unit cell a=5.404 b=5.404 c=5.404 alpha=150.64 beta=126.75 gamma=61.98
Element x y z (fractional)
Zn  0.008  0.008  0.000
Pt  0.250  0.750  0.500
Zn  0.492  0.492  0.000
Mo  0.750  0.250  0.500



Below is a geometry-optimized ZnMo2Pt structure, with properties calculated at the GGA-PBE level.

- Volume: 61.9 Å³/f.u.
- Magnetic moment: 0.00 μB/cell
- Formation enthalpy at 0 K: -87 meV/atom

Unit cell a=3.250 b=3.250 c=5.857 alpha=90.00 beta=90.00 gamma=90.00
Element x y z (fractional)
Mo  0.500  0.500  0.231
Mo  0.000  0.000  0.005
Pt  0.000  0.000  0.520
Zn  0.500  0.500  0.745



Below is a geometry-optimized Zn2MoPt8 structure, with properties calculated at the GGA-PBE level.

- Volume: 168.6 Å³/f.u.
- Magnetic moment: 0.00 μB/cell
- Formation enthalpy at 0 K: -318 meV/atom

Unit cell a=3.966 b=6.274 c=7.346 alpha=105.98 beta=105.66 gamma=90.00
Element x y z (fractional)
Pt  0.863  0.818  0.727
Zn  0.778  0.363  0.555
Pt  0.597  0.449  0.194
Mo  0.500  0.000  0.000
Pt  0.137  0.182  0.273
Pt  0.403  0.551  0.806
Pt  0.682  0.920  0.363
Zn  0.222  0.637  0.445
Pt  0.318  0.080  0.637
Pt  0.045  0.727  0.090
Pt  0.955  0.273  0.910



Below is a geometry-optimized Zn2MoPt structure, with properties calculated at the GGA-PBE level.

- Volume: 61.5 Å³/f.u.
- Polymorph energy (0 for the lowest one): 119 meV per atom
- Magnetic moment: 0.00 μB/cell
- Formation enthalpy at 0 K: -66 meV/atom

Unit cell a=9.255 b=9.255 c=9.255 alpha=17.34 beta=17.34 gamma=17.34
Element x y z (fractional)
Zn  0.249  0.249  0.249
Zn  0.002  0.002  0.002
Pt  0.750  0.750  0.750
Mo  0.499  0.499  0.499



Below is a geometry-optimized Zn2MoPt structure, with properties calculated at the GGA-PBE level.

- Volume: 60.0 Å³/f.u.
- Polymorph energy (0 for the lowest one): 159 meV per atom
- Magnetic moment: 0.00 μB/cell
- Formation enthalpy at 0 K: -25 meV/atom

Unit cell a=5.375 b=5.375 c=5.375 alpha=149.73 beta=129.38 gamma=60.12
Element x y z (fractional)
Zn  0.002  0.002  0.000
Pt  0.244  0.744  0.500
Zn  0.756  0.256  0.500
Mo  0.498  0.498  0.000



Below is a geometry-optimized ZnMo2Pt2 structure, with properties calculated at the GGA-PBE level.

- Volume: 83.5 Å³/f.u.
- Magnetic moment: 0.00 μB/cell
- Formation enthalpy at 0 K: 41 meV/atom

Unit cell a=7.834 b=7.834 c=2.722 alpha=90.00 beta=90.00 gamma=90.00
Element x y z (fractional)
Pt  0.623  0.123  0.000
Mo  0.326  0.174  0.500
Zn  0.500  0.500  0.000
Pt  0.123  0.377  0.000
Pt  0.377  0.877  0.000
Mo  0.674  0.826  0.500
Pt  0.877  0.623  0.000
Mo  0.174  0.674  0.500
Zn  0.000  0.000  0.000
Mo  0.826  0.326  0.500



Below is a geometry-optimized ZnMo2Pt structure, with properties calculated at the GGA-PBE level.

- Volume: 62.1 Å³/f.u.
- Magnetic moment: 0.00 μB/cell
- Formation enthalpy at 0 K: 147 meV/atom

Unit cell a=4.806 b=4.806 c=2.690 alpha=90.00 beta=90.00 gamma=90.00
Element x y z (fractional)
Mo  0.000  0.000  0.000
Mo  0.500  0.500  0.000
Zn  0.000  0.500  0.500
Pt  0.500  0.000  0.500



Below is a geometry-optimized Zn4MoPt structure, with properties calculated at the GGA-PBE level.

- Volume: 86.0 Å³/f.u.
- Magnetic moment: 0.00 μB/cell
- Formation enthalpy at 0 K: 70 meV/atom

Unit cell a=4.955 b=4.955 c=4.955 alpha=60.00 beta=60.00 gamma=60.00
Element x y z (fractional)
Pt  0.000  0.000  0.000
Zn  0.872  0.376  0.376
Mo  0.750  0.750  0.750
Zn  0.376  0.376  0.872
Zn  0.376  0.376  0.376
Zn  0.376  0.872  0.376



Below is a geometry-optimized ZnMo2Pt structure, with properties calculated at the GGA-PBE level.

- Volume: 61.0 Å³/f.u.
- Magnetic moment: 0.00 μB/cell
- Formation enthalpy at 0 K: -73 meV/atom

Unit cell a=5.876 b=5.051 c=2.702 alpha=89.94 beta=62.74 gamma=117.34
Element x y z (fractional)
Pt  0.000  0.500  0.500
Zn  0.500  0.500  0.000
Mo  0.000  0.000  0.000
Mo  0.500  0.000  0.500



Below is a geometry-optimized ZnMo2Pt structure, with properties calculated at the GGA-PBE level.

- Volume: 60.6 Å³/f.u.
- Magnetic moment: 0.00 μB/cell
- Formation enthalpy at 0 K: -148 meV/atom

Unit cell a=5.076 b=5.076 c=5.076 alpha=136.77 beta=136.77 gamma=62.80
Element x y z (fractional)
Zn  0.750  0.250  0.500
Mo  0.500  0.500  0.000
Mo  0.000  0.000  0.000
Pt  0.250  0.750  0.500



Below is a geometry-optimized ZnMo2Pt structure, with properties calculated at the GGA-PBE level.

- Volume: 60.9 Å³/f.u.
- Magnetic moment: 0.00 μB/cell
- Formation enthalpy at 0 K: -97 meV/atom

Unit cell a=3.731 b=3.740 c=4.364 alpha=90.00 beta=90.00 gamma=90.00
Element x y z (fractional)
Pt  0.500  0.000  0.500
Mo  0.000  0.000  0.000
Zn  0.000  0.500  0.500
Mo  0.500  0.500  0.000



Below is a geometry-optimized Zn2MoPt structure, with properties calculated at the GGA-PBE level.

- Volume: 59.8 Å³/f.u.
- Polymorph energy (0 for the lowest one): 143 meV per atom
- Magnetic moment: 0.00 μB/cell
- Formation enthalpy at 0 K: -42 meV/atom

Unit cell a=4.788 b=4.788 c=4.788 alpha=131.75 beta=131.75 gamma=70.62
Element x y z (fractional)
Mo  0.500  0.500  0.000
Pt  0.750  0.250  0.500
Zn  0.250  0.750  0.500
Zn  0.000  0.000  0.000



Below is a geometry-optimized Zn2MoPt structure, with properties calculated at the GGA-PBE level.

- Volume: 60.1 Å³/f.u.
- Polymorph energy (0 for the lowest one): 62 meV per atom
- Magnetic moment: 0.00 μB/cell
- Formation enthalpy at 0 K: -123 meV/atom

Unit cell a=2.753 b=3.906 c=5.586 alpha=90.00 beta=90.00 gamma=90.00
Element x y z (fractional)
Zn  0.000  0.000  0.008
Zn  0.500  0.500  0.241
Mo  0.000  0.000  0.506
Pt  0.500  0.500  0.744



Below is a geometry-optimized ZnMo2Pt structure, with properties calculated at the GGA-PBE level.

- Volume: 65.6 Å³/f.u.
- Magnetic moment: 0.00 μB/cell
- Formation enthalpy at 0 K: 310 meV/atom

Unit cell a=3.666 b=3.666 c=10.104 alpha=79.55 beta=79.55 gamma=90.00
Element x y z (fractional)
Pt  0.000  0.000  0.000
Zn  0.250  0.750  0.500
Mo  0.136  0.625  0.250
Mo  0.375  0.386  0.750
Pt  0.750  0.250  0.500
Mo  0.614  0.125  0.250
Mo  0.875  0.864  0.750
Zn  0.500  0.500  0.000



Below is a geometry-optimized Zn2MoPt structure, with properties calculated at the GGA-PBE level.

- Volume: 60.4 Å³/f.u.
- Polymorph energy (0 for the lowest one): 104 meV per atom
- Magnetic moment: 0.00 μB/cell
- Formation enthalpy at 0 K: -81 meV/atom

Unit cell a=4.710 b=4.710 c=4.933 alpha=82.38 beta=82.38 gamma=33.86
Element x y z (fractional)
Mo  0.501  0.501  0.485
Pt  0.249  0.249  0.264
Zn  0.750  0.750  0.769
Zn  0.999  0.999  0.982



Below is a geometry-optimized Zn2Mo2Pt structure, with properties calculated at the GGA-PBE level.

- Volume: 83.1 Å³/f.u.
- Magnetic moment: 0.00 μB/cell
- Formation enthalpy at 0 K: 421 meV/atom

Unit cell a=7.241 b=7.241 c=7.241 alpha=152.08 beta=152.08 gamma=39.89
Element x y z (fractional)
Pt  0.000  0.000  0.000
Zn  0.250  0.750  0.500
Mo  0.412  0.412  0.000
Mo  0.588  0.588  0.000
Zn  0.750  0.250  0.500



Below is a geometry-optimized Zn2MoPt2 structure, with properties calculated at the GGA-PBE level.

- Volume: 77.0 Å³/f.u.
- Polymorph energy (0 for the lowest one): 108 meV per atom
- Magnetic moment: 0.00 μB/cell
- Formation enthalpy at 0 K: -93 meV/atom

Unit cell a=7.448 b=7.448 c=2.776 alpha=90.00 beta=90.00 gamma=90.00
Element x y z (fractional)
Pt  0.136  0.364  0.000
Mo  0.000  0.000  0.000
Zn  0.163  0.663  0.500
Zn  0.337  0.163  0.500
Zn  0.837  0.337  0.500
Pt  0.364  0.864  0.000
Mo  0.500  0.500  0.000
Pt  0.864  0.636  0.000
Pt  0.636  0.136  0.000
Zn  0.663  0.837  0.500



Below is a geometry-optimized Zn2MoPt structure, with properties calculated at the GGA-PBE level.

- Volume: 60.3 Å³/f.u.
- Polymorph energy (0 for the lowest one): 165 meV per atom
- Magnetic moment: 0.00 μB/cell
- Formation enthalpy at 0 K: -20 meV/atom

Unit cell a=4.915 b=4.915 c=2.662 alpha=90.00 beta=90.00 gamma=110.20
Element x y z (fractional)
Zn  0.000  0.000  0.000
Pt  0.000  0.500  0.500
Zn  0.500  0.500  0.000
Mo  0.500  0.000  0.500



Below is a geometry-optimized Zn2MoPt structure, with properties calculated at the GGA-PBE level.

- Volume: 59.2 Å³/f.u.
- Polymorph energy (0 for the lowest one): 103 meV per atom
- Magnetic moment: 0.00 μB/cell
- Formation enthalpy at 0 K: -81 meV/atom

Unit cell a=2.800 b=3.339 c=6.334 alpha=90.00 beta=90.00 gamma=90.00
Element x y z (fractional)
Pt  0.500  0.500  0.750
Mo  0.500  0.500  0.250
Zn  0.000  0.000  0.987
Zn  0.000  0.000  0.513



Below is a geometry-optimized Zn2MoPt structure, with properties calculated at the GGA-PBE level.

- Volume: 59.4 Å³/f.u.
- Polymorph energy (0 for the lowest one): 26 meV per atom
- Magnetic moment: 0.00 μB/cell
- Formation enthalpy at 0 K: -159 meV/atom

Unit cell a=2.776 b=2.776 c=7.710 alpha=90.00 beta=90.00 gamma=89.93
Element x y z (fractional)
Zn  0.000  0.000  0.990
Zn  0.000  0.000  0.510
Pt  0.500  0.500  0.750
Mo  0.500  0.500  0.250



Below is a geometry-optimized ZnMo2Pt structure, with properties calculated at the GGA-PBE level.

- Volume: 60.7 Å³/f.u.
- Magnetic moment: 0.00 μB/cell
- Formation enthalpy at 0 K: -109 meV/atom

Unit cell a=2.710 b=4.250 c=5.272 alpha=90.00 beta=90.00 gamma=90.00
Element x y z (fractional)
Zn  0.500  0.500  0.750
Pt  0.500  0.500  0.250
Mo  0.000  0.000  0.989
Mo  0.000  0.000  0.511



Below is a geometry-optimized ZnMo2Pt structure, with properties calculated at the GGA-PBE level.

- Volume: 60.9 Å³/f.u.
- Magnetic moment: 0.00 μB/cell
- Formation enthalpy at 0 K: -67 meV/atom

Unit cell a=2.714 b=2.714 c=8.270 alpha=90.00 beta=90.00 gamma=90.00
Element x y z (fractional)
Mo  0.000  0.000  0.502
Mo  0.000  0.000  0.998
Zn  0.500  0.500  0.750
Pt  0.500  0.500  0.250



Below is a geometry-optimized Zn2MoPt structure, with properties calculated at the GGA-PBE level.

- Volume: 61.0 Å³/f.u.
- Polymorph energy (0 for the lowest one): 195 meV per atom
- Magnetic moment: 1.56 μB/cell
- Formation enthalpy at 0 K: 10 meV/atom

Unit cell a=4.418 b=4.418 c=4.418 alpha=60.00 beta=60.00 gamma=60.00
Element x y z (fractional)
Pt  0.750  0.750  0.750
Mo  0.500  0.500  0.500
Zn  0.250  0.250  0.250
Zn  0.000  0.000  0.000



Below is a geometry-optimized Zn2MoPt structure, with properties calculated at the GGA-PBE level.

- Volume: 65.4 Å³/f.u.
- Polymorph energy (0 for the lowest one): 522 meV per atom
- Magnetic moment: 0.00 μB/cell
- Formation enthalpy at 0 K: 337 meV/atom

Unit cell a=7.038 b=7.038 c=5.634 alpha=51.35 beta=51.35 gamma=90.00
Element x y z (fractional)
Zn  0.375  0.364  0.750
Zn  0.875  0.886  0.750
Zn  0.114  0.625  0.250
Mo  0.500  0.500  0.000
Mo  0.250  0.750  0.500
Zn  0.636  0.125  0.250
Pt  0.750  0.250  0.500
Pt  0.000  0.000  0.000



Below is a geometry-optimized Zn2MoPt9 structure, with properties calculated at the GGA-PBE level.

- Volume: 183.6 Å³/f.u.
- Magnetic moment: 0.01 μB/cell
- Formation enthalpy at 0 K: -348 meV/atom

Unit cell a=3.947 b=3.947 c=11.788 alpha=90.00 beta=90.00 gamma=90.00
Element x y z (fractional)
Pt  0.500  0.500  0.333
Pt  0.000  0.500  0.500
Pt  0.000  0.500  0.835
Zn  0.000  0.000  0.661
Pt  0.500  0.500  0.000
Pt  0.500  0.000  0.165
Mo  0.000  0.000  0.000
Pt  0.500  0.000  0.835
Pt  0.000  0.500  0.165
Zn  0.000  0.000  0.339
Pt  0.500  0.500  0.667
Pt  0.500  0.000  0.500



Below is a geometry-optimized ZnMoPt6 structure, with properties calculated at the GGA-PBE level.

- Volume: 123.1 Å³/f.u.
- Magnetic moment: 0.30 μB/cell
- Formation enthalpy at 0 K: -341 meV/atom

Unit cell a=3.957 b=3.957 c=7.862 alpha=90.00 beta=90.00 gamma=90.00
Element x y z (fractional)
Pt  0.000  0.500  0.746
Pt  0.500  0.500  0.500
Mo  0.000  0.000  0.500
Pt  0.500  0.500  0.000
Pt  0.500  0.000  0.254
Pt  0.000  0.500  0.254
Pt  0.500  0.000  0.746
Zn  0.000  0.000  0.000



Below is a geometry-optimized Zn2MoPt structure, with properties calculated at the GGA-PBE level.

- Volume: 60.1 Å³/f.u.
- Polymorph energy (0 for the lowest one): 146 meV per atom
- Magnetic moment: 0.01 μB/cell
- Formation enthalpy at 0 K: -38 meV/atom

Unit cell a=3.878 b=3.937 c=3.937 alpha=90.00 beta=90.00 gamma=90.00
Element x y z (fractional)
Pt  0.500  0.000  0.500
Zn  0.000  0.500  0.500
Zn  0.000  0.000  0.000
Mo  0.500  0.500  0.000



Below is a geometry-optimized ZnMo2Pt structure, with properties calculated at the GGA-PBE level.

- Volume: 61.3 Å³/f.u.
- Magnetic moment: 0.00 μB/cell
- Formation enthalpy at 0 K: -37 meV/atom

Unit cell a=4.835 b=4.835 c=4.835 alpha=131.92 beta=131.92 gamma=70.35
Element x y z (fractional)
Zn  0.750  0.250  0.500
Mo  0.000  0.000  0.000
Pt  0.500  0.500  0.000
Mo  0.250  0.750  0.500



| no. | E (eV per atom) |
| --- | --- |
| 1 | -4.902 |
| 2 | -7.331 |
| 3 | -5.928 |
| 4 | -4.921 |
| 5 | -4.880 |
| 6 | -6.962 |
| 7 | -7.097 |
| 8 | -3.591 |
| 9 | -7.317 |
| 10 | -7.392 |
| 11 | -7.341 |
| 12 | -4.897 |
| 13 | -4.978 |
| 14 | -6.935 |
| 15 | -4.935 |
| 16 | -5.629 |
| 17 | -5.185 |
| 18 | -4.875 |
| 19 | -4.936 |
| 20 | -5.014 |
| 21 | -7.354 |
| 22 | -7.311 |
| 23 | -4.845 |
| 24 | -4.517 |
| 25 | -5.993 |
| 26 | -6.385 |
| 27 | -4.893 |
| 28 | -7.281 |